K2SrV2O6 after structural relaxation. Source: Alexandria, functional PBE with a Hubbard U.

The structure in POSCAR format:
```
K2SrV2O6
1.0
6.2754 0.0000 0.0000
-3.1377 5.3805 -0.3353
0.0000 -3.4747 6.2900
K O Sr V
2 6 1 2
direct
0.2948 0.5896 0.8299
0.7052 0.4104 0.1701
0.1868 0.9093 0.2122
0.2279 0.4558 0.3543
0.2775 0.0907 0.7878
0.7225 0.9093 0.2122
0.7721 0.5442 0.6457
0.8132 0.0907 0.7878
0.5000 0.0000 0.5000
0.9605 0.9209 0.7897
0.0395 0.0791 0.2103
```

energy: -71.3 eV per cell